DFT (GGA-PBE) results for a relaxed LaReHRh crystal.

Output
Offset from the most stable computed form in kJ/mol of formula units: 43
Total magnetic moment in μB per formula unit: 0.0

abc: 4.072 4.072 15.648
angles: 90.00 90.00 120.00
Fractional coordinates of all 12 atoms:
La  0.000  0.000  0.000
La  0.333  0.667  0.667
La  0.667  0.333  0.333
Re  0.000  0.000  0.491
Re  0.333  0.667  0.158
Re  0.667  0.333  0.824
H  0.000  0.000  0.379
H  0.333  0.667  0.046
H  0.667  0.333  0.712
Rh  0.000  0.000  0.202
Rh  0.333  0.667  0.869
Rh  0.667  0.333  0.536